Entry from Alexandria: a relaxed structure of Sc2Ge2Te (PBE).

Calculated values
Final energy (Ry per atom): -0.417
Spin magnetization (μB per cell): 0.0
Formation energy from raw total energies (eV per atom): -0.667

```
10
Lattice="7.579 0.000 0.000 0.000 7.579 0.000 0.000 0.000 3.890" Properties=species:S:1:pos:R:3 pbc="T T T"
Sc 5.131 1.341 0.000
Sc 1.341 2.449 0.000
Sc 2.449 6.238 0.000
Sc 6.238 5.131 0.000
Te 0.000 0.000 0.000
Te 3.790 3.790 0.000
Ge 0.872 4.662 1.945
Ge 2.918 0.872 1.945
Ge 4.662 6.708 1.945
Ge 6.708 2.918 1.945
```



Entry from Alexandria: a relaxed structure of Y2Tm3Sn4 (PBE).

Calculated values
Final energy (Ry per atom): -0.387
Spin magnetization (μB per cell): 0.0

```
18
Lattice="-1.998 -6.107 2.472 8.305 -3.064 -0.857 2.752 5.629 6.543" Properties=species:S:1:pos:R:3 pbc="T T T"
Tm 3.154 -4.585 0.807
Tm 7.762 0.748 3.328
Tm 0.000 0.000 0.000
Tm 2.296 -1.237 3.593
Tm 6.763 -2.305 4.564
Tm 1.297 -4.290 4.829
Sn 7.385 -1.392 7.323
Sn 8.510 -1.930 2.108
Sn 4.264 -3.786 3.679
Sn 0.549 -1.612 6.049
Sn 4.795 0.244 4.478
Sn 8.384 1.662 6.087
Sn 1.674 -2.150 0.834
Sn 0.675 -5.203 2.070
Y 3.747 -2.311 6.905
Y 6.940 -5.253 2.217
Y 5.312 -1.231 1.252
Y 2.119 1.711 5.940
```



Entry from Alexandria: a relaxed structure of Pa2Te3H7 (PBE).

Calculated values
Final energy (Ry per atom): -0.327
Spin magnetization (μB per cell): 0.0

```
12
Lattice="3.964 0.000 0.000 0.000 3.944 -0.586 0.000 -0.395 10.913" Properties=species:S:1:pos:R:3 pbc="T T T"
H 0.000 2.926 6.131
H 0.000 0.000 0.000
H 0.000 2.217 1.357
H 1.982 0.181 1.218
H 1.982 3.368 9.109
H 0.000 1.332 8.970
H 0.000 0.623 4.196
Te 1.982 2.514 3.361
Te 1.982 1.972 -0.293
Te 1.982 1.035 6.966
Pa 0.000 0.324 2.181
Pa 0.000 3.225 8.146
```



Entry from Alexandria: a relaxed structure of Th4Te2OsC (PBE).

Calculated values
Final energy (Ry per atom): -0.573
Spin magnetization (μB per cell): 0.0
Formation energy from raw total energies (eV per atom): -0.740

```
8
Lattice="-2.634 1.812 2.493 0.066 -5.766 4.259 5.690 4.836 2.497" Properties=species:S:1:pos:R:3 pbc="T T T"
Os 0.000 0.000 0.000
Th 1.136 -3.198 3.523
Th 4.620 2.268 3.233
Th 3.306 0.419 6.484
Th -0.185 0.463 2.765
Te 2.878 -0.465 3.378
Te 1.528 3.324 2.495
C -1.284 -1.977 3.376
```



Entry from Alexandria: a relaxed structure of Mg6Tl2Ni (PBE).

Calculated values
Final energy (Ry per atom): -0.170
Spin magnetization (μB per cell): 0.0

```
9
Lattice="3.570 0.000 0.000 0.000 7.934 0.000 0.000 -3.967 6.880" Properties=species:S:1:pos:R:3 pbc="T T T"
Ni 1.785 0.000 0.000
Mg 1.785 -2.526 4.385
Mg 1.785 1.441 2.495
Mg 0.000 3.008 5.219
Mg 0.000 1.920 0.000
Mg 1.785 5.048 0.000
Mg 0.000 6.975 1.661
Tl 0.000 0.001 4.583
Tl 0.000 3.968 2.297
```



Entry from Alexandria: a relaxed structure of TbTm2Pa (PBE).

Calculated values
Final energy (Ry per atom): -0.416
Spin magnetization (μB per cell): 0.0

```
4
Lattice="3.405 0.000 0.000 1.702 2.949 0.000 1.702 0.983 11.422" Properties=species:S:1:pos:R:3 pbc="T T T"
Tm 1.702 0.983 8.482
Tm 1.702 0.983 2.941
Pa 3.405 1.966 5.697
Tb 3.405 1.966 0.013
```



Entry from Alexandria: a relaxed structure of AgPbAu3 (PBE).

Calculated values
Final energy (Ry per atom): -0.206
Spin magnetization (μB per cell): 0.0

```
5
Lattice="-3.585 3.075 1.956 -1.862 -3.904 2.724 3.132 1.198 3.858" Properties=species:S:1:pos:R:3 pbc="T T T"
Au -1.793 1.537 0.978
Au 1.566 0.599 1.929
Au -0.931 -1.952 1.362
Ag 0.000 0.000 0.000
Pb -1.157 0.185 4.269
```



Entry from Alexandria: a relaxed structure of LaNdRh4 (PBE).

Calculated values
Final energy (Ry per atom): -0.528
Spin magnetization (μB per cell): 0.0

```
6
Lattice="5.434 0.000 0.000 2.717 4.706 0.000 2.717 1.569 4.437" Properties=species:S:1:pos:R:3 pbc="T T T"
Rh 6.791 3.921 2.772
Rh 5.434 3.137 0.557
Rh 5.434 1.571 2.772
Rh 4.077 3.921 2.772
La 0.000 0.000 0.000
Nd 2.717 1.569 1.109
```



Entry from Alexandria: a relaxed structure of Ca3MgAu2 (PBE).

Calculated values
Final energy (Ry per atom): -0.217
Spin magnetization (μB per cell): 0.0

```
6
Lattice="4.347 -0.001 -1.261 -0.347 4.229 -1.197 0.145 0.180 8.665" Properties=species:S:1:pos:R:3 pbc="T T T"
Ca 3.551 1.471 4.142
Ca 0.595 2.936 2.065
Ca 2.000 2.114 -1.229
Au 1.425 3.820 4.927
Au 2.721 0.587 1.279
Mg 0.000 0.000 0.000
```



Entry from Alexandria: a relaxed structure of BaErGaHg (PBE).

Calculated values
Final energy (Ry per atom): -0.203
Spin magnetization (μB per cell): 0.0

```
4
Lattice="-0.751 -2.355 4.930 4.341 -1.106 3.218 0.833 2.918 4.605" Properties=species:S:1:pos:R:3 pbc="T T T"
Ba 2.212 -0.271 6.377
Er 0.000 0.000 0.000
Hg 1.106 -0.136 3.188
Ga 3.317 -0.407 9.565
```